No. 1
# Li2CuMo

A geometry-optimized Li2CuMo structure (PBE-GGA, Alexandria via LeMat-Bulk).

Structure (extended XYZ):
```
4
Lattice="4.6799 0.0000 0.0000 0.0000 2.4744 -0.0094 0.0000 0.2392 4.9125" Properties=species:S:1:pos:R:3 pbc="T T T"
Li 0.0000 2.1931 -0.0009
Li 0.0000 1.6381 2.4430
Mo 2.3399 0.6784 1.2258
Cu 2.3399 2.0352 3.6773
```

Results
Space group ... P2/m (10)
E above lowest polymorph ... 0.41 eV per formula unit
Electronic total energy ... -17.5 eV/f.u.
ΔH_f (0 K) ... 0.3023 eV per atom
Total moment ... 0.008 μB/atom

---

No. 2
# SrAc2Pt9

A geometry-optimized SrAc2Pt9 structure (PBE-GGA, Alexandria via LeMat-Bulk).

Structure (extended XYZ):
```
12
Lattice="-1.9004 -3.2083 4.1618 2.4947 -4.8692 1.1369 5.7384 1.4895 7.5200" Properties=species:S:1:pos:R:3 pbc="T T T"
Pt 5.6188 -1.9819 6.6476
Pt 0.2169 -2.6783 1.7857
Pt 1.6729 -2.9871 4.0708
Pt 3.1664 -3.2940 6.4093
Pt 3.4009 -1.1437 8.1740
Pt 4.6598 -3.6009 8.7478
Pt 6.1159 -3.9097 11.0329
Pt 0.7139 -4.6061 6.1711
Pt 2.9319 -5.4443 4.6446
Ac 2.8913 -6.3437 7.6840
Ac 3.4415 -0.2443 5.1346
Sr 0.0000 0.0000 0.0000
```

Results
Space group ... R-3m (166)
Electronic total energy ... -74.2 eV/f.u.
ΔH_f (0 K) ... -0.8299 eV per atom
Total moment ... 0.000 μB/atom

---

No. 3
# Pu3MgTl4O12

A geometry-optimized Pu3MgTl4O12 structure (PBE-GGA, Alexandria via LeMat-Bulk).

Structure (extended XYZ):
```
20
Lattice="7.4064 0.0000 0.0000 -2.4688 6.9829 0.0000 -2.4688 -3.4914 6.0473" Properties=species:S:1:pos:R:3 pbc="T T T"
Tl 3.7032 0.0000 0.0000
Tl -1.2344 3.4914 0.0000
Tl -1.2344 -1.7457 3.0237
Tl 1.2344 1.7457 3.0237
O 1.2344 4.3643 1.5118
O 1.2344 -0.8729 4.5355
O 1.3256 -0.9374 1.6235
O 3.6120 5.1081 0.0000
O -1.3256 0.9374 1.6235
O -1.2344 0.8729 4.5355
O 3.7032 0.0000 3.0237
O -3.6120 2.5541 4.4238
O 3.6120 -2.5541 4.4238
O 3.7032 2.6186 1.5118
O -1.2344 3.4914 3.0237
O 1.3256 1.8747 0.0000
Pu 2.4688 3.4914 0.0000
Pu -2.4688 1.7457 3.0237
Pu 2.4688 -1.7457 3.0237
Mg 0.0000 0.0000 0.0000
```

Results
Space group ... Im-3m (229)
Electronic total energy ... -153.6 eV/f.u.
Total moment ... 0.300 μB/atom

---

No. 4
# CrCu3Sn

A geometry-optimized CrCu3Sn structure (PBE-GGA, Alexandria via LeMat-Bulk).

Structure (extended XYZ):
```
5
Lattice="-4.3467 -0.8162 1.3609 0.5043 -4.4731 -1.0721 1.5047 -0.8588 4.2908" Properties=species:S:1:pos:R:3 pbc="T T T"
Cr 0.0000 0.0000 0.0000
Cu 0.7523 -0.4294 2.1454
Cu 0.2521 -2.2365 -0.5361
Cu -2.1734 -0.4081 0.6805
Sn -1.1689 -3.0741 2.2898
```

Results
Space group ... Pm-3m (221)
E above lowest polymorph ... 0.00 eV per formula unit
Electronic total energy ... -21.0 eV/f.u.
ΔH_f (0 K) ... 0.9926 eV per atom
Total moment ... 0.822 μB/atom